Record 1
TaIr3Se | PBE-GGA | optimized geometry

## Properties
- E_form (uncorrected): 38.06 kcal/mol of atoms
- E above lowest polymorph: 33.9 kJ/mol of atoms

Cell: 4.801 4.801 4.801 Å, 90.00 90.00 90.00°
Fractional coordinates of all 5 atoms:
Ir 0.000 0.500 0.000
Ir 0.000 0.000 0.500
Ir 0.500 0.000 0.000
Se 0.500 0.500 0.500
Ta 0.000 0.000 0.000

=====

Record 2
Pr3Ga4Pd4 | PBE-GGA | optimized geometry

## Properties
- ΔE_f: -8.74 eV per formula unit

Cell: 4.401 3.987 13.592 Å, 98.43 99.32 90.00°
Fractional coordinates of all 11 atoms:
Pr 0.355 0.855 0.710
Pr 0.645 0.145 0.290
Pr 0.000 0.000 0.000
Ga 0.806 0.306 0.611
Ga 0.451 0.451 0.903
Ga 0.549 0.549 0.097
Ga 0.194 0.694 0.389
Pd 0.253 0.253 0.507
Pd 0.098 0.598 0.196
Pd 0.902 0.402 0.804
Pd 0.747 0.747 0.493

=====

Record 3
Hf2NiP | PBE-GGA | optimized geometry

## Properties
- ΔE_f: -1.47 eV per formula unit

Cell: 6.890 6.890 5.715 Å, 52.93 52.93 90.00°
Fractional coordinates of all 8 atoms:
Ni 0.000 0.000 0.000
Ni 0.750 0.250 0.500
Hf 0.631 0.125 0.250
Hf 0.119 0.625 0.250
Hf 0.375 0.369 0.750
Hf 0.875 0.881 0.750
P 0.500 0.500 0.000
P 0.250 0.750 0.500

=====

Record 4
Tl3ZnSb | PBE-GGA | optimized geometry

## Properties
- E_form (uncorrected): 11.38 kcal/mol of atoms
- E above lowest polymorph: 22.3 kJ/mol of atoms

Cell: 6.047 6.047 6.047 Å, 90.00 90.00 90.00°
Fractional coordinates of all 5 atoms:
Sb 0.000 0.000 0.000
Tl 0.000 0.500 0.000
Tl 0.000 0.000 0.500
Tl 0.500 0.000 0.000
Zn 0.500 0.500 0.500

=====

Record 5
CrTcPb2 | PBE-GGA | optimized geometry

## Properties
- ΔE_f: 5.26 eV per formula unit
- E above lowest polymorph: 95.4 kJ/mol of atoms

Cell: 7.526 7.526 6.099 Å, 51.90 51.90 90.00°
Last column: magnetic moment on the atom in μB.
Fractional coordinates of all 8 atoms:
Pb 0.619 0.125 0.250  0.01
Pb 0.131 0.625 0.250  0.01
Pb 0.375 0.381 0.750  0.01
Pb 0.875 0.869 0.750  0.01
Cr 0.500 0.500 0.000  -0.17
Cr 0.250 0.750 0.500  -0.18
Tc 0.000 0.000 0.000  -0.29
Tc 0.750 0.250 0.500  -0.29

=====

Record 6
BaBiP2Pd4 | PBE-GGA | optimized geometry

## Properties
- ΔE_f: -4.57 eV per formula unit

Cell: 4.209 4.209 9.863 Å, 90.00 90.00 90.00°
Fractional coordinates of all 8 atoms:
Ba 0.000 0.000 0.500
Bi 0.000 0.000 0.000
P 0.500 0.500 0.310
P 0.500 0.500 0.690
Pd 0.000 0.500 0.201
Pd 0.500 0.000 0.799
Pd 0.500 0.000 0.201
Pd 0.000 0.500 0.799

=====

Record 7
Ca2PmPr3 | PBE-GGA | optimized geometry

## Properties
- ΔE_f: 0.19 eV per formula unit

Cell: 7.474 7.474 9.306 Å, 90.00 90.00 120.00°
Fractional coordinates of all 12 atoms:
Ca 0.000 0.000 0.000
Ca 0.500 0.000 0.000
Ca 0.000 0.500 0.000
Ca 0.500 0.500 0.000
Pm 0.333 0.667 0.344
Pm 0.667 0.333 0.656
Pr 0.167 0.833 0.655
Pr 0.167 0.334 0.655
Pr 0.666 0.833 0.655
Pr 0.833 0.167 0.345
Pr 0.334 0.167 0.345
Pr 0.833 0.666 0.345

=====

Record 8
Er8CoRu2 | PBE-GGA | optimized geometry

## Properties
- ΔE_f: -2.06 eV per formula unit
- E above lowest polymorph: 4.8 kJ/mol of atoms

Cell: 5.870 7.443 7.443 Å, 113.06 101.18 101.18°
Fractional coordinates of all 11 atoms:
Er 0.584 0.347 0.087
Er 0.584 0.087 0.347
Er 0.177 0.356 0.356
Er 0.993 0.207 0.794
Er 0.993 0.794 0.207
Er 0.798 0.643 0.643
Er 0.383 0.926 0.669
Er 0.383 0.669 0.926
Co 0.153 0.994 0.994
Ru 0.476 0.695 0.316
Ru 0.476 0.316 0.695

=====

Record 9
HoUSb | PBE-GGA | optimized geometry

## Properties
- E_form (uncorrected): -10.37 kcal/mol of atoms

Cell: 3.944 4.687 8.520 Å, 91.99 103.38 90.00°
Last column: magnetic moment on the atom in μB.
Fractional coordinates of all 6 atoms:
U 0.758 0.178 0.517  1.73
U 0.242 0.822 0.483  1.73
Ho 0.575 0.754 0.150  0.01
Ho 0.425 0.246 0.850  0.01
Sb 0.899 0.737 0.797  -0.01
Sb 0.101 0.263 0.203  -0.01

=====

Record 10
Cd7Ag2Hg | PBE-GGA | optimized geometry

## Properties
- ΔE_f: 1.30 eV per formula unit

Cell: 5.137 7.782 7.782 Å, 117.98 90.00 90.00°
Fractional coordinates of all 10 atoms:
Cd 0.000 0.630 0.370
Cd 0.000 0.370 0.630
Cd 0.500 0.070 0.296
Cd 0.500 0.930 0.704
Cd 0.500 0.296 0.070
Cd 0.500 0.704 0.930
Cd 0.500 0.500 0.500
Ag 0.500 0.712 0.288
Ag 0.500 0.288 0.712
Hg 0.000 0.000 0.000

=====

Record 11
Dy6HoCo2 | PBE-GGA | optimized geometry

## Properties
- ΔE_f: -0.62 eV per formula unit

Cell: 8.509 8.509 8.509 Å, 107.72 108.09 112.64°
Fractional coordinates of all 18 atoms:
Dy 0.473 0.289 0.184
Dy 0.527 0.711 0.816
Dy 0.896 0.711 0.184
Dy 0.104 0.289 0.816
Dy 0.213 0.758 0.971
Dy 0.787 0.242 0.029
Dy 0.787 0.758 0.545
Dy 0.213 0.242 0.455
Dy 0.317 0.998 0.681
Dy 0.683 0.002 0.319
Dy 0.683 0.363 0.681
Dy 0.317 0.637 0.319
Ho 0.000 0.500 0.500
Ho 0.000 0.000 0.000
Co 0.500 0.386 0.886
Co 0.500 0.614 0.114
Co 0.292 0.000 0.292
Co 0.708 0.000 0.708

=====

Record 12
Tb2Pr12Er | PBE-GGA | optimized geometry

## Properties
- ΔE_f: 2.31 eV per formula unit

Cell: 6.900 6.900 25.230 Å, 90.00 90.00 63.47°
Fractional coordinates of all 30 atoms:
Tb 0.500 0.000 0.271
Tb 0.000 0.500 0.267
Tb 0.000 0.500 0.729
Tb 0.500 0.000 0.733
Pr 0.500 0.500 0.802
Pr 0.000 0.000 0.802
Pr 0.752 0.748 0.871
Pr 0.252 0.752 0.927
Pr 0.000 0.000 0.324
Pr 0.248 0.748 0.073
Pr 0.774 0.274 0.560
Pr 0.500 0.500 0.324
Pr 0.248 0.252 0.871
Pr 0.748 0.752 0.129
Pr 0.270 0.230 0.585
Pr 0.726 0.226 0.440
Pr 0.000 0.000 0.676
Pr 0.230 0.270 0.415
Pr 0.252 0.248 0.129
Pr 0.770 0.730 0.415
Pr 0.730 0.770 0.585
Pr 0.000 0.000 0.198
Pr 0.226 0.726 0.560
Pr 0.500 0.500 0.676
Pr 0.748 0.248 0.927
Pr 0.500 0.500 0.198
Pr 0.274 0.774 0.440
Pr 0.752 0.252 0.073
Er 0.500 0.000 0.001
Er 0.000 0.500 0.999

=====

Number 1: E_tot -6.73 eV per atom, volume 110.7 Å³ per cell, M_tot 0.000 μB/atom. Number 2: E_tot -5.09 eV per atom, volume 232.8 Å³ per cell, M_tot 0.000 μB/atom. Number 3: E_tot -8.14 eV per atom, volume 141.8 Å³ per cell, M_tot 0.000 μB/atom. Number 4: E_tot -2.01 eV per atom, volume 221.2 Å³ per cell, M_tot 0.000 μB/atom. Number 5: E_tot -5.54 eV per atom, volume 168.7 Å³ per cell, M_tot 0.117 μB/atom. Number 6: E_tot -5.25 eV per atom, volume 174.7 Å³ per cell, M_tot 0.000 μB/atom. Number 7: E_tot -3.82 eV per atom, volume 450.2 Å³ per cell, M_tot 0.000 μB/atom. Number 8: E_tot -5.84 eV per atom, volume 280.1 Å³ per cell, M_tot 0.000 μB/atom. Number 9: E_tot -7.11 eV per atom, volume 153.1 Å³ per cell, M_tot 0.624 μB/atom. Number 10: E_tot -1.11 eV per atom, volume 274.7 Å³ per cell, M_tot 0.000 μB/atom. Number 11: E_tot -5.22 eV per atom, volume 473.2 Å³ per cell, M_tot 0.000 μB/atom. Number 12: E_tot -4.59 eV per atom, volume 1074.6 Å³ per cell, M_tot 0.000 μB/atom.